A plane-wave DFT calculation with PBE was carried out for CuSn2Au after structural relaxation.

Cell and atoms, written as POSCAR:
```
CuSn2Au
1.0
2.063 1.191 6.011
-2.063 1.191 6.011
0.000 -2.382 6.011
Cu Sn Au
1 2 1
direct
0.000 0.000 0.000 Cu
0.403 0.403 0.403 Sn
0.588 0.588 0.588 Sn
0.160 0.160 0.160 Au
```

Fermi-level density of states	1.9	states/eV/f.u.
crystal system	trigonal
final energy	-15.30	eV for the cell shown
spin magnetization	0.00	μB per atom
space-group type	R3m (160)